Here is a relaxed ScPa3 crystal from the Alexandria database. Energies are from PBE.

a b c (Å): 5.453 3.130 5.683
angles (deg): 90.00 90.00 90.00
Positions (direct):
Sc  0.000  0.000  0.965
Pa  0.000  0.500  0.471
Pa  0.500  0.500  0.197
Pa  0.500  0.000  0.701

DFT formation energy: 0.092 eV per atom
Density: 12.6 g/cm³

---

Here is a relaxed ScPa6 crystal from the Alexandria database. Energies are from PBE.

a b c (Å): 6.600 6.600 6.600
angles (deg): 109.47 109.47 109.47
Positions (direct):
Sc  0.000  0.000  0.000
Pa  0.250  0.750  0.500
Pa  0.500  0.750  0.250
Pa  0.250  0.500  0.750
Pa  0.750  0.250  0.500
Pa  0.500  0.250  0.750
Pa  0.750  0.500  0.250

DFT formation energy: 1.533 eV per atom
Density: 10.7 g/cm³

---

Here is a relaxed ScPa3 crystal from the Alexandria database. Energies are from PBE.

a b c (Å): 4.577 4.577 5.676
angles (deg): 113.78 113.78 90.00
Positions (direct):
Sc  0.000  0.000  0.000
Pa  0.750  0.250  0.500
Pa  0.250  0.750  0.500
Pa  0.500  0.500  0.000

DFT formation energy: 0.072 eV per atom
Density: 12.5 g/cm³

---

Here is a relaxed ScPa11 crystal from the Alexandria database. Energies are from PBE.

a b c (Å): 3.111 10.455 10.455
angles (deg): 120.00 90.00 90.00
Positions (direct):
Sc  0.000  0.000  0.000
Pa  0.000  0.500  0.000
Pa  0.000  0.000  0.500
Pa  0.000  0.500  0.500
Pa  0.500  0.166  0.333
Pa  0.500  0.333  0.166
Pa  0.500  0.834  0.166
Pa  0.500  0.166  0.834
Pa  0.500  0.667  0.834
Pa  0.500  0.834  0.667
Pa  0.000  0.667  0.333
Pa  0.000  0.333  0.667

DFT formation energy: 0.079 eV per atom
Density: 14.6 g/cm³